# Cu2Ag4Ru

A geometry-optimized Cu2Ag4Ru structure (PBE, Alexandria).

Cell and atoms, written as extended XYZ:
```
7
Lattice="5.0145 0.0000 0.0000 0.0000 5.0145 0.0000 2.5072 2.5072 6.4032" Properties=species:S:1:pos:R:3 pbc="T T T"
Ru 0.0000 0.0000 0.0000
Cu 5.0145 5.0145 5.2273
Cu 2.5072 2.5072 1.1759
Ag 5.0145 5.0145 2.6727
Ag 2.5072 2.5072 3.7305
Ag 0.0000 2.5072 0.0000
Ag 2.5072 0.0000 0.0000
```

Computed properties:
Crystal system: tetragonal
Density of states at the Fermi level in states/eV per cell: 4.8
Space group: No. 139
Energy of formation in meV/atom: 1097
E_tot in eV/cell: -21.2